Record 1
NaLiPt3, relaxed, DFT GGA-PBE; space-group type = Pm-3m; DFT formation energy = 1.147 eV/atom; crystal system = cubic; spin magnetization = 0.00 μB/f.u.; total DFT energy (no corrections) = -3.124 eV/atom
1.0
-2.2368 -0.5916 4.0910
2.8426 -3.5972 1.0341
3.0009 2.9665 2.0698
Na Pt Li
1 3 1
Cartesian
0.0000 0.0000 0.0000
1.4213 -1.7986 0.5171
1.5005 1.4832 1.0349
-1.1184 -0.2958 2.0455
1.8034 -0.6111 3.5974

---

Record 2
NaLiPt2, relaxed, DFT GGA-PBE; space-group type = Fm-3m; DFT formation energy = -0.071 eV/atom; crystal system = cubic; spin magnetization = 0.00 μB/f.u.; total DFT energy (no corrections) = -3.900 eV/atom
1.0
0.0000 3.1274 3.1274
3.1274 0.0000 3.1274
3.1274 3.1274 0.0000
Na Pt Li
1 2 1
Cartesian
3.1274 3.1274 3.1274
1.5637 1.5637 1.5637
4.6911 4.6911 4.6911
0.0000 0.0000 0.0000

---

Record 3
NaLiPt3, relaxed, DFT GGA-PBE; space-group type = Pm-3m; DFT formation energy = 0.290 eV/atom; crystal system = cubic; spin magnetization = 0.00 μB/f.u.; total DFT energy (no corrections) = -3.981 eV/atom
1.0
4.3444 0.0000 0.0000
0.0000 4.3444 0.0000
0.0000 0.0000 4.3444
Na Pt Li
1 3 1
Cartesian
2.1722 2.1722 2.1722
0.0000 2.1722 0.0000
0.0000 0.0000 2.1722
2.1722 0.0000 0.0000
0.0000 0.0000 0.0000

---

Record 4
NaLiPt4, relaxed, DFT GGA-PBE; space-group type = F-43m; DFT formation energy = -0.381 eV/atom; crystal system = cubic; spin magnetization = 0.00 μB/f.u.; total DFT energy (no corrections) = -4.947 eV/atom
1.0
5.3145 0.0000 0.0000
2.6573 4.6025 0.0000
2.6573 1.5342 4.3393
Na Pt Li
1 4 1
Cartesian
2.6573 1.5342 1.0848
5.3145 3.0684 0.5410
5.3145 1.5328 2.7125
6.6444 3.8361 2.7125
3.9847 3.8361 2.7125
0.0000 0.0000 0.0000

---

> DFT formation energy of number 1 (NaLiPt3)?

1.147 eV/atom

---

> Among the records above, which one has the lowest total DFT energy (no corrections)?

NaLiPt4

---

> What is the formula in the fourth record?

NaLiPt4

---

> Look up the spin magnetization of the fourth one.

0.00 μB/f.u.